No. 1
A plane-wave DFT calculation with PBE was carried out for a relaxed PrGaPd crystal.

## Properties
Space-group type = No. 129
E_form = -0.733 eV/atom

abc: 4.3945 4.3945 7.0428
angles: 90.00 90.00 90.00
Closest atoms and distances in Å follow each position.
Atoms (fractional coordinates):
Pr 0.2500 0.2500 0.1791  4 Pd 3.15, 5 Ga 3.22-3.36
Pr 0.7500 0.7500 0.8209  4 Pd 3.15, 5 Ga 3.22-3.36
Ga 0.2500 0.2500 0.7027  4 Pd 2.62
Ga 0.7500 0.7500 0.2973  4 Pd 2.62
Pd 0.2500 0.7500 0.5000  4 Ga 2.62
Pd 0.7500 0.2500 0.5000  4 Ga 2.62

No. 2
A plane-wave DFT calculation with PBE was carried out for a relaxed Pr3GaPd8 crystal.

## Properties
Space-group type = No. 156
E_form = -0.683 eV/atom

abc: 5.5264 5.5264 8.9245
angles: 90.00 90.00 120.00
Closest atoms and distances in Å follow each position.
Atoms (fractional coordinates):
Pr 0.0000 0.0000 0.0000  12 Pd 3.04-3.34, 3 Ga 3.21
Pr 0.0000 0.0000 0.3926  12 Pd 3.21-3.25, 4 Pr 3.50-3.59
Pr 0.6667 0.3333 0.5766  9 Pd 3.01-3.36
Ga 0.6667 0.3333 0.9632  3 Pd 2.71
Pd 0.1658 0.3316 0.7099  6 Pd 2.74-2.78, 3 Pr 3.01-3.04
Pd 0.1658 0.8342 0.7099  6 Pd 2.74-2.78, 3 Pr 3.01-3.04
Pd 0.3333 0.6667 0.4575  6 Pd 2.74-2.77
Pd 0.3333 0.6667 0.9591  6 Pd 2.74-2.76
Pd 0.5018 0.0037 0.2099  1 Ga 2.71, 6 Pd 2.73-2.79
Pd 0.5018 0.4982 0.2099  1 Ga 2.71, 6 Pd 2.73-2.79
Pd 0.6684 0.8342 0.7099  6 Pd 2.74-2.78, 3 Pr 3.01-3.04
Pd 0.9963 0.4982 0.2099  1 Ga 2.71, 6 Pd 2.73-2.79

No. 3
A plane-wave DFT calculation with PBE was carried out for a relaxed Pr6Ga2Pd crystal.

## Properties
Space-group type = No. 14
E_form = -0.333 eV/atom

abc: 6.2193 8.6338 11.5234
angles: 90.00 119.00 90.00
Closest atoms and distances in Å follow each position.
Atoms (fractional coordinates):
Pr 0.0665 0.1657 0.4422  1 Pd 3.03, 3 Ga 3.14-3.32
Pr 0.0665 0.3343 0.9422  1 Pd 3.03, 3 Ga 3.14-3.32
Pr 0.3371 0.6796 0.4390  1 Pd 2.95, 2 Ga 3.24-3.31
Pr 0.3371 0.8204 0.9390  1 Pd 2.95, 2 Ga 3.24-3.31
Pr 0.3860 0.0349 0.2680  1 Pd 2.86, 2 Ga 3.19-3.20
Pr 0.3860 0.4651 0.7680  1 Pd 2.86, 2 Ga 3.19-3.20
Pr 0.6140 0.5349 0.2320  1 Pd 2.86, 2 Ga 3.19-3.20
Pr 0.6140 0.9651 0.7320  1 Pd 2.86, 2 Ga 3.19-3.20
Pr 0.6629 0.1796 0.0610  1 Pd 2.95, 2 Ga 3.24-3.31
Pr 0.6629 0.3204 0.5610  1 Pd 2.95, 2 Ga 3.24-3.31
Pr 0.9335 0.6657 0.0578  1 Pd 3.03, 3 Ga 3.14-3.32
Pr 0.9335 0.8343 0.5578  1 Pd 3.03, 3 Ga 3.14-3.32
Ga 0.1710 0.1249 0.7519  8 Pr 3.14-3.42
Ga 0.1710 0.3751 0.2519  8 Pr 3.14-3.42
Ga 0.8290 0.6249 0.7481  8 Pr 3.14-3.42
Ga 0.8290 0.8751 0.2481  8 Pr 3.14-3.42
Pd 0.0000 0.0000 0.0000  6 Pr 2.86-3.03
Pd 0.0000 0.5000 0.5000  6 Pr 2.86-3.03

No. 4
A plane-wave DFT calculation with PBE was carried out for a relaxed PrGa9Pd3 crystal.

## Properties
Space-group type = No. 12
E_form = -0.451 eV/atom

abc: 6.9824 6.9824 6.8810
angles: 98.48 98.48 133.04
Closest atoms and distances in Å follow each position.
Atoms (fractional coordinates):
Pr 0.0000 0.0000 0.0000  14 Ga 3.19-3.44, 6 Pd 3.49-3.53
Ga 0.0000 0.0000 0.5000  8 Ga 2.75-2.86, 2 Pd 2.78
Ga 0.0030 0.6436 0.6545  5 Ga 2.67-2.98, 3 Pd 2.71-2.87
Ga 0.2939 0.5100 0.7890  3 Pd 2.64-2.66, 4 Ga 2.70-2.85
Ga 0.3564 0.9970 0.3455  5 Ga 2.67-2.98, 3 Pd 2.71-2.87
Ga 0.4900 0.7061 0.2110  3 Pd 2.64-2.66, 4 Ga 2.70-2.85
Ga 0.5100 0.2939 0.7890  3 Pd 2.64-2.66, 4 Ga 2.70-2.85
Ga 0.6436 0.0030 0.6545  5 Ga 2.67-2.98, 3 Pd 2.71-2.87
Ga 0.7061 0.4900 0.2110  3 Pd 2.64-2.66, 4 Ga 2.70-2.85
Ga 0.9970 0.3564 0.3455  5 Ga 2.67-2.98, 3 Pd 2.71-2.87
Pd 0.0000 0.5000 0.0000  8 Ga 2.65-2.81, 2 Pd 2.78
Pd 0.5000 0.0000 0.0000  8 Ga 2.65-2.81, 2 Pd 2.78
Pd 0.5000 0.5000 0.5000  10 Ga 2.64-2.87

No. 5
A plane-wave DFT calculation with PBE was carried out for a relaxed Pr2GaPd2 crystal.

## Properties
Space-group type = No. 12
E_form = -0.769 eV/atom

abc: 5.9264 5.9264 10.9147
angles: 114.89 114.89 42.90
Closest atoms and distances in Å follow each position.
Atoms (fractional coordinates):
Pr 0.0055 0.0055 0.3360  7 Pd 3.12-3.47, 4 Ga 3.16-3.39
Pr 0.1881 0.1881 0.1120  6 Pd 3.18-3.21, 2 Ga 3.29
Pr 0.8119 0.8119 0.8880  6 Pd 3.18-3.21, 2 Ga 3.29
Pr 0.9945 0.9945 0.6640  7 Pd 3.12-3.47, 4 Ga 3.16-3.39
Ga 0.2800 0.2800 0.6487  4 Pd 2.55-2.75
Ga 0.7200 0.7200 0.3513  4 Pd 2.55-2.75
Pd 0.3528 0.3528 0.4384  3 Ga 2.55-2.75
Pd 0.4803 0.4803 0.1196  1 Ga 2.71, 1 Pd 2.83
Pd 0.5197 0.5197 0.8804  1 Ga 2.71, 1 Pd 2.83
Pd 0.6472 0.6472 0.5616  3 Ga 2.55-2.75

No. 6
A plane-wave DFT calculation with PBE was carried out for a relaxed Pr2Ga3Pd2 crystal.

## Properties
Space-group type = No. 63
E_form = -0.759 eV/atom

abc: 9.6775 9.6775 7.3151
angles: 90.00 90.00 154.42
Closest atoms and distances in Å follow each position.
Atoms (fractional coordinates):
Pr 0.0611 0.9389 0.7500  9 Ga 3.08-3.37
Pr 0.1583 0.8417 0.2500  6 Ga 3.08-3.12, 6 Pd 3.14-3.19
Pr 0.8417 0.1583 0.7500  6 Ga 3.08-3.12, 6 Pd 3.14-3.19
Pr 0.9389 0.0611 0.2500  9 Ga 3.08-3.37
Ga 0.2245 0.7755 0.7500  6 Pd 2.66-2.72
Ga 0.4413 0.5587 0.5752  2 Ga 2.48-2.56, 1 Pd 2.67
Ga 0.4413 0.5587 0.9248  2 Ga 2.48-2.56, 1 Pd 2.67
Ga 0.5587 0.4413 0.0752  2 Ga 2.48-2.56, 1 Pd 2.67
Ga 0.5587 0.4413 0.4248  2 Ga 2.48-2.56, 1 Pd 2.67
Ga 0.7755 0.2245 0.2500  6 Pd 2.66-2.72
Pd 0.3088 0.6912 0.0513  4 Ga 2.66-2.72, 1 Pd 2.91
Pd 0.3088 0.6912 0.4487  4 Ga 2.66-2.72, 1 Pd 2.91
Pd 0.6912 0.3088 0.5513  4 Ga 2.66-2.72, 1 Pd 2.91
Pd 0.6912 0.3088 0.9487  4 Ga 2.66-2.72, 1 Pd 2.91